1.
Here is a relaxed structure of LaCrTeO6 from the Alexandria database. Energies are from PBE+U.

Properties
- Space-group type: No. 1
- Energy above the most stable polymorph in this dataset: 3.48 eV/f.u.

Cell: 5.492 4.335 6.016 Å, 101.49 100.72 106.04°
Site moments in Bohr magnetons follow the coordinates.
Fractional positions:
O (0.356, 0.099, 0.471)  -0.03
O (0.807, 0.699, 0.850)  -0.02
O (0.255, 0.326, 0.618)  0.00
O (0.787, 0.814, 0.302)  -0.01
O (0.372, 0.889, 0.983)  -0.01
O (0.117, 0.364, 0.099)  -0.04
Cr (0.092, 0.896, 0.157)  2.98
La (0.809, 0.133, 0.667)  0.01
Te (0.486, 0.519, 0.013)  0.01

2.
Here is a relaxed structure of LaCrTeO6 from the Alexandria database. Energies are from PBE+U.

Properties
- Space-group type: No. 163
- DOS at the Fermi energy: 0.00 states/eV/cell
- Energy above the most stable polymorph in this dataset: 0.00 eV/f.u.

Cell: 5.242 5.242 10.447 Å, 90.00 90.00 120.00°
Site moments in Bohr magnetons follow the coordinates.
Fractional positions:
O (0.626, 0.990, 0.645)  -0.01
O (0.635, 0.626, 0.355)  -0.01
O (0.010, 0.374, 0.855)  -0.01
O (0.365, 0.990, 0.855)  -0.01
O (0.990, 0.626, 0.145)  -0.01
O (0.365, 0.374, 0.645)  -0.01
O (0.635, 0.010, 0.145)  -0.01
O (0.626, 0.635, 0.855)  -0.01
O (0.990, 0.365, 0.355)  -0.01
O (0.374, 0.010, 0.355)  -0.01
O (0.010, 0.635, 0.645)  -0.01
O (0.374, 0.365, 0.145)  -0.01
Cr (0.333, 0.667, 0.250)  2.96
Cr (0.667, 0.333, 0.750)  2.96
Te (0.333, 0.667, 0.750)  0.02
Te (0.667, 0.333, 0.250)  0.02
La (0.000, 0.000, 0.000)  0.01
La (0.000, 0.000, 0.500)  0.01

3.
Here is a relaxed structure of La2TiCrO6 from the Alexandria database. Energies are from PBE+U.

Properties
- Space-group type: No. 2
- DOS at the Fermi energy: 5.69 states/eV/cell
- Energy above the most stable polymorph in this dataset: 0.30 eV/f.u.

Cell: 5.626 5.634 9.741 Å, 88.91 106.59 120.06°
Site moments in Bohr magnetons follow the coordinates.
Fractional positions:
O (0.678, 0.030, 0.338)  0.00
O (0.284, 0.196, 0.400)  -0.01
O (0.322, 0.970, 0.662)  0.00
O (0.879, 0.414, 0.638)  0.02
O (0.170, 0.133, 0.874)  0.00
O (0.288, 0.431, 0.146)  0.00
O (0.830, 0.867, 0.126)  0.00
O (0.697, 0.295, 0.095)  0.00
O (0.712, 0.569, 0.854)  0.00
O (0.121, 0.586, 0.362)  0.02
O (0.303, 0.705, 0.905)  0.00
O (0.716, 0.804, 0.600)  -0.01
Cr (0.500, 0.000, 0.500)  3.65
Cr (0.500, 0.500, 0.000)  2.84
La (0.727, 0.618, 0.372)  -0.01
La (0.273, 0.382, 0.628)  -0.01
La (0.745, 0.131, 0.877)  -0.01
La (0.255, 0.869, 0.123)  -0.01
Ti (0.990, 0.243, 0.249)  -0.33
Ti (0.010, 0.757, 0.751)  -0.33

4.
Here is a relaxed structure of La2TiCrO6 from the Alexandria database. Energies are from PBE+U.

Properties
- Space-group type: No. 14
- Energy above the most stable polymorph in this dataset: 0.00 eV/f.u.

Cell: 5.644 5.541 8.329 Å, 89.73 89.99 90.00°
Site moments in Bohr magnetons follow the coordinates.
Fractional positions:
Cr (0.500, 0.500, 0.000)  3.70
Cr (0.000, 0.000, 0.500)  3.70
La (0.042, 0.515, 0.753)  0.01
La (0.458, 0.015, 0.253)  0.01
La (0.542, 0.985, 0.747)  0.01
La (0.958, 0.485, 0.247)  0.01
O (0.293, 0.781, 0.548)  -0.01
O (0.219, 0.294, 0.442)  -0.01
O (0.533, 0.599, 0.275)  0.02
O (0.467, 0.401, 0.725)  0.02
O (0.781, 0.706, 0.558)  -0.01
O (0.707, 0.219, 0.452)  -0.01
O (0.967, 0.099, 0.775)  0.02
O (0.719, 0.206, 0.058)  -0.01
O (0.281, 0.794, 0.942)  -0.01
O (0.033, 0.901, 0.225)  0.02
O (0.793, 0.719, 0.952)  -0.01
O (0.207, 0.281, 0.048)  -0.01
Ti (0.000, 0.000, 0.000)  0.10
Ti (0.500, 0.500, 0.500)  0.10